[1]
{
  "formula": "Ba2BeZnO4",
  "functional": "PBE",
  "state": "optimized geometry",
  "lattice": [[4.578, 0.000, 0.000], [2.289, 5.476, 0.000], [2.289, 0.000, 10.081]],
  "species": ["Ba", "Ba", "Ba", "Ba", "Be", "Be", "Zn", "Zn", "O", "O", "O", "O", "O", "O", "O", "O"],
  "frac_coords": [[0.177, 0.000, 0.646], [0.823, 0.000, 0.354], [0.573, 0.500, 0.854], [0.927, 0.500, 0.146], [0.250, 0.500, 0.500], [0.500, 0.000, 0.000], [0.750, 0.500, 0.500], [0.000, 0.000, 0.000], [0.339, 0.806, 0.093], [0.238, 0.194, 0.907], [0.855, 0.806, 0.907], [0.568, 0.194, 0.093], [0.411, 0.694, 0.407], [0.512, 0.306, 0.593], [0.895, 0.694, 0.593], [0.182, 0.306, 0.407]],
  "e_tot_ev_per_atom": -5.717,
  "sg": "Fddd (70)",
  "formation_energy_uncorrected_ev_per_atom": -2.132
}

***

[2]
{
  "formula": "Ba2ZrBe2O6",
  "functional": "PBE",
  "state": "optimized geometry",
  "lattice": [[5.615, 0.000, 0.000], [2.807, 4.862, 0.000], [2.807, 1.621, 5.614]],
  "species": ["Ba", "Ba", "Zr", "Be", "Be", "O", "O", "O", "O", "O", "O"],
  "frac_coords": [[0.778, 0.778, 0.667], [0.222, 0.222, 0.333], [0.000, 0.000, 0.000], [0.414, 0.414, 0.759], [0.586, 0.586, 0.241], [0.749, 0.749, 0.230], [0.271, 0.749, 0.230], [0.749, 0.271, 0.230], [0.251, 0.729, 0.770], [0.729, 0.251, 0.770], [0.251, 0.251, 0.770]],
  "e_tot_ev_per_atom": -7.412,
  "sg": "R-3m (166)",
  "formation_energy_uncorrected_ev_per_atom": -2.904
}

***

[3]
{
  "formula": "Ba2BeOs",
  "functional": "PBE",
  "state": "optimized geometry",
  "lattice": [[8.223, 0.060, -0.006], [5.908, 5.721, 0.006], [-6.956, -3.158, 3.045]],
  "species": ["Be", "Os", "Ba", "Ba"],
  "frac_coords": [[0.404, 0.404, 0.000], [0.353, 0.853, 0.500], [0.990, 0.990, 0.000], [0.754, 0.254, 0.500]],
  "e_tot_ev_per_atom": -4.302,
  "sg": "Imm2 (44)",
  "delta_e_f_ev_per_atom": 0.398
}

***

[4]
{
  "formula": "BaBe2Os",
  "functional": "PBE",
  "state": "optimized geometry",
  "lattice": [[-0.993, -2.896, -0.395], [0.763, -0.659, 2.916], [-5.747, 1.283, 5.040]],
  "species": ["Be", "Be", "Os", "Ba"],
  "frac_coords": [[0.000, 0.892, 0.107], [0.000, 0.608, 0.393], [0.500, 0.250, 0.250], [0.500, 0.750, 0.750]],
  "e_tot_ev_per_atom": -4.868,
  "sg": "P2/m (10)",
  "delta_e_f_ev_per_atom": 0.284,
  "e_above_lowest_polymorph_ev_per_atom": 0.1415
}